Compound: BaY2Pt2
Source: Alexandria
Functional: PBE
Structure: relaxed

Output
Energy of formation from the pure elements = -0.785 eV per atom
V = 26.348 Å³ per atom
Density of states at the Fermi level = 7.579 states/eV per cell
SG = P4/mbm

Unit cell a=8.319 b=8.319 c=3.807 alpha=90.00 beta=90.00 gamma=90.00
Fractional coordinates of all 10 atoms:
Ba: 0.000 0.000 0.000
Ba: 0.500 0.500 0.000
Y: 0.145 0.645 0.500
Y: 0.355 0.145 0.500
Y: 0.645 0.855 0.500
Y: 0.855 0.355 0.500
Pt: 0.865 0.635 0.000
Pt: 0.135 0.365 0.000
Pt: 0.635 0.135 0.000
Pt: 0.365 0.865 0.000